{
  "formula": "HoZn6Au2",
  "functional": "PBE-GGA",
  "state": "relaxed",
  "delta_e_f_ev_per_atom": -0.295,
  "crystal_system": "tetragonal",
  "space_group": "P4/mmm (123)",
  "cell": [[3.878, 0.000, 0.000], [0.000, 3.878, 0.000], [0.000, 0.000, 10.515]],
  "species": ["Au", "Au", "Zn", "Zn", "Zn", "Zn", "Zn", "Zn", "Ho"],
  "fractional_positions": [[0.500, 0.500, 0.133], [0.500, 0.500, 0.867], [0.000, 0.500, 0.689], [0.500, 0.500, 0.500], [0.000, 0.500, 0.311], [0.500, 0.000, 0.311], [0.500, 0.000, 0.689], [0.000, 0.000, 0.500], [0.000, 0.000, 0.000]]
}